Ca2TbAg2Se4 | PBE | relaxed

Unit cell a=4.020 b=7.802 c=8.146 alpha=117.21 beta=104.28 gamma=90.00
Fractional positions:
Se: 0.796 0.734 0.593
Ca: 0.862 0.424 0.724
Se: 0.504 0.729 0.009
Se: 0.496 0.271 0.991
Ag: 0.687 0.006 0.374
Ca: 0.138 0.576 0.276
Tb: 0.000 0.000 0.000
Ag: 0.313 0.994 0.626
Se: 0.204 0.266 0.407

Computed properties:
- V (Å³/cell) = 218.3
- theoretical density (Mg/m³) = 5.86
- E_tot (eV/atom) = -4.37
- formation energy (no corrections) (eV per atom) = -1.229
- total magnetization (μB/atom) = 0.0000